KSb3S: relaxed, PBE-GGA.

abc: 5.8995 5.8995 5.8995
angles: 90.00 90.00 90.00
Element x y z (fractional)
Sb: 0.0000 0.5000 0.0000
Sb: 0.0000 0.0000 0.5000
Sb: 0.5000 0.0000 0.0000
K: 0.0000 0.0000 0.0000
S: 0.5000 0.5000 0.5000

Summary:
- magnetic moment (μB/f.u.) = 2.98
- formation energy from raw total energies (eV/atom) = 1.60
- E_tot (eV for the cell shown) = -9.57
- space-group type = Pm-3m, No. 221